The following is a DFT calculation (PBE with a Hubbard U) of Li4Mn3Cr3W2O16 after structural relaxation.

Cell lengths 6.0396, 6.0396, 9.7981 Å; angles 91.42, 91.42, 59.88 degrees
Fractional coordinates of all 28 atoms:
Li 0.0000 0.0000 0.0000
Li 0.0029 0.0029 0.5012
Li 0.3254 0.3254 0.4211
Li 0.6596 0.6596 0.9249
Mn 0.1711 0.6598 0.7249
Mn 0.6598 0.1711 0.7249
Mn 0.8283 0.8283 0.2244
Cr 0.1693 0.1693 0.7289
Cr 0.3363 0.8283 0.2269
Cr 0.8283 0.3363 0.2269
W 0.3295 0.3295 0.9996
W 0.6657 0.6657 0.4982
O 0.0021 0.0021 0.8140
O 0.0345 0.4621 0.8686
O 0.1679 0.1679 0.1121
O 0.1725 0.6528 0.1027
O 0.3262 0.3262 0.6235
O 0.3500 0.8340 0.6003
O 0.4621 0.0345 0.8686
O 0.4733 0.4733 0.8783
O 0.5060 0.9533 0.3618
O 0.5175 0.5175 0.3542
O 0.6528 0.1725 0.1027
O 0.6614 0.6614 0.1261
O 0.8277 0.8277 0.5866
O 0.8340 0.3500 0.6003
O 0.9533 0.5060 0.3618
O 0.9984 0.9984 0.3155

Properties
Density of states at the Fermi level: 4.39 states/eV/cell
Space group: Cm, No. 8
DFT total energy: -7.172 eV/atom
Spin magnetization: 23.00 μB per cell